Density functional theory data (PBE-GGA) for a relaxed structure of Y2SbSe.

Properties
**Formation energy from raw total energies**: -1.197 eV per atom
**Energy above the lowest structure with this stoichiometry**: 1.105 eV/f.u.
**Calculated total energy**: -6.3305 eV per atom
**Crystal system**: monoclinic

The structure in extended XYZ format:
```
4
Lattice="-1.605 2.527 -2.411 -3.634 -1.214 1.147 -0.023 5.166 5.429" Properties=species:S:1:pos:R:3 pbc="T T T"
Sb -1.717 2.252 0.438
Se -3.545 4.228 3.726
Y -2.727 -0.806 0.970
Y -2.735 1.568 3.464
```